(1)
Below is an optimized crystal structure of TaMnN2, with properties calculated at the GGA-PBEsol level.

```
TaMnN2
1.0
2.969 0.000 0.000
1.484 2.571 0.000
1.484 0.857 5.979
Ta N Mn
1 2 1
direct
0.000 0.000 0.000 Ta
0.111 0.111 0.667 N
0.889 0.889 0.333 N
0.500 0.500 0.500 Mn
```

=====

(2)
Below is an optimized crystal structure of MnTcN2, with properties calculated at the GGA-PBEsol level.

```
MnTcN2
1.0
-0.006 -1.247 -4.209
-0.799 -4.139 1.227
-3.835 3.447 1.274
N Tc Mn
4 2 2
direct
0.125 0.151 0.750 N
0.625 0.599 0.750 N
0.849 0.375 0.250 N
0.401 0.875 0.250 N
0.000 0.000 0.000 Tc
0.250 0.750 0.500 Tc
0.750 0.250 0.500 Mn
0.500 0.500 0.000 Mn
```

=====

(3)
Below is an optimized crystal structure of MnTcTe2N, with properties calculated at the GGA-PBEsol level.

```
MnTcTe2N
1.0
-2.738 1.328 -1.447
-2.761 -3.906 1.638
-1.032 2.516 4.262
N Tc Te Mn
1 1 2 1
direct
0.500 0.000 0.000 N
0.500 0.500 0.500 Tc
0.000 0.500 0.000 Te
0.000 0.000 0.500 Te
0.000 0.000 0.000 Mn
```

=====

Listing uncorrected energy for the structures above in their given order: -9.99 -9.77 -6.76 eV/atom.
Listing uncorrected formation energy for the structures above in their given order: -0.15 -0.25 0.56 eV/atom.